No. 1
6
Lattice="-0.920 -2.140 -3.183 3.228 -0.868 2.095 -4.359 -5.022 4.635" Properties=species:S:1:pos:R:3 comment="PBE Pa2GeTeH2, relaxed" dft_energy_ev_per_atom=-6.182 spacegroup="P-3m1, No. 164" pbc="T T T"
Pa -1.310 -4.928 3.691
Pa -0.741 -3.102 -0.144
Ge -2.179 -2.511 2.318
Te 0.000 0.000 0.000
H 0.709 -2.601 1.543
H -2.760 -5.429 2.003


No. 2
10
Lattice="-2.363 -2.879 5.971 3.515 -5.919 -1.462 2.623 1.163 1.599" Properties=species:S:1:pos:R:3 comment="PBE Ge2H2Pb, relaxed" e_above_lowest_polymorph_mev_per_atom=0.0 spacegroup="P4/mbm, No. 127" pbc="T T T"
Pb 0.000 0.000 0.000
Pb 0.576 -4.399 2.254
H 2.221 -6.495 1.080
H -0.028 -6.137 4.510
H -1.068 -2.303 3.428
H 1.181 -2.661 -0.002
Ge 3.213 -3.477 0.631
Ge 2.910 -6.397 3.251
Ge 0.562 -4.158 5.476
Ge 0.864 -1.238 2.856


No. 3
5
Lattice="3.656 0.000 0.000 0.000 3.656 0.000 1.828 1.828 6.930" Properties=species:S:1:pos:R:3 comment="PBE GeH2Pb2, relaxed" dft_energy_ev_per_atom=-3.343 spacegroup="I4/mmm, No. 139" pbc="T T T"
Pb 1.828 1.828 1.972
Pb 3.656 3.656 4.959
H 3.656 1.828 3.465
H 1.828 3.656 3.465
Ge 0.000 0.000 0.000


No. 4
5
Lattice="4.554 0.000 0.000 0.000 4.554 0.000 0.000 0.000 4.554" Properties=species:S:1:pos:R:3 comment="PBE Ge3HPb, relaxed" e_above_lowest_polymorph_mev_per_atom=0.0 spacegroup="Pm-3m, No. 221" pbc="T T T"
Pb 2.277 2.277 2.277
H 0.000 0.000 0.000
Ge 0.000 2.277 0.000
Ge 0.000 0.000 2.277
Ge 2.277 0.000 0.000


No. 5
8
Lattice="-2.726 -5.006 -1.583 2.460 0.358 -5.368 4.535 -5.476 -1.546" Properties=species:S:1:pos:R:3 comment="PBE GeHPb2, relaxed" e_above_lowest_polymorph_mev_per_atom=0.0 spacegroup="I-42d, No. 122" pbc="T T T"
Pb -0.051 -4.064 -1.924
Pb 2.119 -2.160 -4.063
Pb 3.493 -5.823 -4.184
Pb 2.977 -8.203 -6.825
H -0.133 -2.324 -3.476
H 3.431 -3.722 -5.195
Ge 0.000 0.000 0.000
Ge 0.838 -6.404 -3.302


No. 6
4
Lattice="-1.438 -4.153 2.411 -4.565 -1.910 -0.801 -0.509 -4.308 -2.512" Properties=species:S:1:pos:R:3 comment="PBE GeHPb2, relaxed" e_above_lowest_polymorph_mev_per_atom=17.2 spacegroup="Fm-3m, No. 225" pbc="T T T"
Pb -1.628 -2.593 -0.226
Pb -4.884 -7.778 -0.677
H 0.000 0.000 0.000
Ge -3.256 -5.185 -0.451


Number 1: total magnetization 0.6 μB/cell, density 10.10 Mg/m³. Number 2: total magnetization 0.0 μB/cell, density 7.24 Mg/m³. Number 3: total magnetization 0.0 μB/cell, density 8.77 Mg/m³. Number 4: total magnetization 0.0 μB/cell, density 7.49 Mg/m³. Number 5: total magnetization 0.0 μB/cell, density 7.78 Mg/m³. Number 6: total magnetization 0.0 μB/cell, density 9.10 Mg/m³.